(1)
# Ba2FeCu2 GGA-PBE relaxed
data_Ba2FeCu2
_chemical_formula_sum 'Ba2 Fe1 Cu2'
_symmetry_space_group_name_H-M 'P 1'
_symmetry_Int_Tables_number 1
_cell_length_a 10.246
_cell_length_b 10.246
_cell_length_c 10.246
_cell_angle_alpha 159.60
_cell_angle_beta 159.60
_cell_angle_gamma 29.01
loop_
_symmetry_equiv_pos_as_xyz
'x,y,z'
loop_
_atom_site_label
_atom_site_fract_x
_atom_site_fract_y
_atom_site_fract_z
_atom_site_occupancy
Ba1 0.109 0.109 0.000 1
Ba2 0.891 0.891 0.000 1
Fe1 0.500 0.500 0.000 1
Cu1 0.250 0.750 0.500 1
Cu2 0.750 0.250 0.500 1
# Space group: I4/mmm, No. 139
# DFT formation energy: 0.51 eV per atom

***

(2)
# BaW2Cl GGA-PBE relaxed
data_BaW2Cl
_chemical_formula_sum 'Ba1 W2 Cl1'
_symmetry_space_group_name_H-M 'P 1'
_symmetry_Int_Tables_number 1
_cell_length_a 3.196
_cell_length_b 5.778
_cell_length_c 6.170
_cell_angle_alpha 90.00
_cell_angle_beta 90.00
_cell_angle_gamma 90.00
loop_
_symmetry_equiv_pos_as_xyz
'x,y,z'
loop_
_atom_site_label
_atom_site_fract_x
_atom_site_fract_y
_atom_site_fract_z
_atom_site_occupancy
Ba1 0.000 0.000 0.000 1
W1 0.500 0.191 0.500 1
W2 0.500 0.809 0.500 1
Cl1 0.000 0.500 0.000 1
# Energy relative to the elements, uncorrected: 1.2091 eV per atom
# Space group: Pmmm, No. 47
# Polymorph energy (0 for the lowest one): 1037 meV per atom

***

(3)
# Er GGA-PBE relaxed
data_Er
_chemical_formula_sum 'Er3'
_symmetry_space_group_name_H-M 'P 1'
_symmetry_Int_Tables_number 1
_cell_length_a 5.516
_cell_length_b 5.516
_cell_length_c 3.448
_cell_angle_alpha 90.00
_cell_angle_beta 90.00
_cell_angle_gamma 120.00
loop_
_symmetry_equiv_pos_as_xyz
'x,y,z'
loop_
_atom_site_label
_atom_site_fract_x
_atom_site_fract_y
_atom_site_fract_z
_atom_site_occupancy
Er1 0.000 0.000 0.000 1
Er2 0.333 0.667 0.500 1
Er3 0.667 0.333 0.500 1
# Space group: P6/mmm, No. 191
# DFT formation energy: 0.07 eV per atom
# Polymorph energy (0 for the lowest one): 75 meV per atom

***

(4)
# PmAsP2 GGA-PBE relaxed
data_PmAsP2
_chemical_formula_sum 'Pm1 As1 P2'
_symmetry_space_group_name_H-M 'P 1'
_symmetry_Int_Tables_number 1
_cell_length_a 6.925
_cell_length_b 6.925
_cell_length_c 6.925
_cell_angle_alpha 32.99
_cell_angle_beta 32.99
_cell_angle_gamma 32.99
loop_
_symmetry_equiv_pos_as_xyz
'x,y,z'
loop_
_atom_site_label
_atom_site_fract_x
_atom_site_fract_y
_atom_site_fract_z
_atom_site_occupancy
Pm1 0.000 0.000 0.000 1
As1 0.500 0.500 0.500 1
P1 0.242 0.242 0.242 1
P2 0.758 0.758 0.758 1
# Space group: R-3m, No. 166
# DFT formation energy: -0.47 eV per atom
# Polymorph energy (0 for the lowest one): 0 meV per atom

***

(5)
# PaHgAu2O6 GGA-PBE relaxed
data_PaHgAu2O6
_chemical_formula_sum 'Pa2 Hg2 Au4 O12'
_symmetry_space_group_name_H-M 'P 1'
_symmetry_Int_Tables_number 1
_cell_length_a 7.565
_cell_length_b 7.565
_cell_length_c 6.225
_cell_angle_alpha 110.60
_cell_angle_beta 110.60
_cell_angle_gamma 61.12
loop_
_symmetry_equiv_pos_as_xyz
'x,y,z'
loop_
_atom_site_label
_atom_site_fract_x
_atom_site_fract_y
_atom_site_fract_z
_atom_site_occupancy
Pa1 0.162 0.838 0.750 1
Pa2 0.838 0.162 0.250 1
Hg1 0.351 0.649 0.250 1
Hg2 0.649 0.351 0.750 1
Au1 0.219 0.298 0.276 1
Au2 0.298 0.219 0.776 1
Au3 0.702 0.781 0.224 1
Au4 0.781 0.702 0.724 1
O1 0.065 0.125 0.618 1
O2 0.115 0.551 0.797 1
O3 0.125 0.065 0.118 1
O4 0.288 0.550 0.480 1
O5 0.449 0.885 0.703 1
O6 0.450 0.712 0.020 1
O7 0.550 0.288 0.980 1
O8 0.551 0.115 0.297 1
O9 0.712 0.450 0.520 1
O10 0.875 0.935 0.882 1
O11 0.885 0.449 0.203 1
O12 0.935 0.875 0.382 1
# Energy relative to the elements, uncorrected: -1.1559 eV per atom
# Space group: C2/c, No. 15

***

(6)
# MnOsBr2 GGA-PBE relaxed
data_MnOsBr2
_chemical_formula_sum 'Mn1 Os1 Br2'
_symmetry_space_group_name_H-M 'P 1'
_symmetry_Int_Tables_number 1
_cell_length_a 3.846
_cell_length_b 3.846
_cell_length_c 7.643
_cell_angle_alpha 90.73
_cell_angle_beta 90.73
_cell_angle_gamma 59.98
loop_
_symmetry_equiv_pos_as_xyz
'x,y,z'
loop_
_atom_site_label
_atom_site_fract_x
_atom_site_fract_y
_atom_site_fract_z
_atom_site_occupancy
Mn1 0.000 0.000 0.000 1
Os1 0.331 0.331 0.871 1
Br1 0.336 0.336 0.205 1
Br2 0.661 0.661 0.669 1
# Energy relative to the elements, uncorrected: 0.3235 eV per atom
# Space group: Cm, No. 8
# Polymorph energy (0 for the lowest one): 58 meV per atom

***

(7)
# Sr2LiInI6 GGA-PBE relaxed
data_Sr2LiInI6
_chemical_formula_sum 'Sr2 Li1 In1 I6'
_symmetry_space_group_name_H-M 'P 1'
_symmetry_Int_Tables_number 1
_cell_length_a 8.867
_cell_length_b 8.867
_cell_length_c 8.867
_cell_angle_alpha 55.36
_cell_angle_beta 55.36
_cell_angle_gamma 55.36
loop_
_symmetry_equiv_pos_as_xyz
'x,y,z'
loop_
_atom_site_label
_atom_site_fract_x
_atom_site_fract_y
_atom_site_fract_z
_atom_site_occupancy
Sr1 0.000 0.000 0.000 1
Sr2 0.491 0.491 0.491 1
Li1 0.812 0.812 0.812 1
In1 0.302 0.302 0.302 1
I1 0.064 0.426 0.726 1
I2 0.198 0.883 0.611 1
I3 0.426 0.726 0.064 1
I4 0.611 0.198 0.883 1
I5 0.726 0.064 0.426 1
I6 0.883 0.611 0.198 1
# Energy relative to the elements, uncorrected: -1.3206 eV per atom
# Space group: R3, No. 146

***

(8)
# InOsCl2 GGA-PBE relaxed
data_InOsCl2
_chemical_formula_sum 'In1 Os1 Cl2'
_symmetry_space_group_name_H-M 'P 1'
_symmetry_Int_Tables_number 1
_cell_length_a 5.912
_cell_length_b 5.912
_cell_length_c 3.669
_cell_angle_alpha 90.00
_cell_angle_beta 90.00
_cell_angle_gamma 125.73
loop_
_symmetry_equiv_pos_as_xyz
'x,y,z'
loop_
_atom_site_label
_atom_site_fract_x
_atom_site_fract_y
_atom_site_fract_z
_atom_site_occupancy
In1 0.000 0.000 0.000 1
Os1 0.500 0.500 0.000 1
Cl1 0.355 0.645 0.500 1
Cl2 0.645 0.355 0.500 1
# Energy relative to the elements, uncorrected: 0.0876 eV per atom
# Space group: Cmmm, No. 65
# Polymorph energy (0 for the lowest one): 75 meV per atom

***

Record-wise size of the total moment values, in μB/f.u.: 1.91, 0.00, 0.00, 0.00, 0.00, 3.01, 0.00, 0.28